# PBE+U NaZr2FeF11, relaxed
data_NaZr2FeF11
_chemical_formula_sum 'Na1 Zr2 Fe1 F11'
_cell_length_a 5.774
_cell_length_b 5.774
_cell_length_c 7.929
_cell_angle_alpha 110.88
_cell_angle_beta 110.88
_cell_angle_gamma 73.05
_space_group_name_H-M_alt 'P 1'
_space_group_IT_number 1
loop_
_space_group_symop_operation_xyz
'x,y,z'
loop_
_atom_site_label
_atom_site_fract_x
_atom_site_fract_y
_atom_site_fract_z
Na1 0.000 0.000 0.000
Zr1 0.494 0.494 0.765
Zr2 0.506 0.506 0.235
Fe1 0.000 0.000 0.500
F1 0.191 0.774 0.690
F2 0.226 0.809 0.310
F3 0.246 0.246 0.648
F4 0.267 0.267 0.109
F5 0.330 0.670 0.000
F6 0.500 0.500 0.500
F7 0.670 0.330 0.000
F8 0.733 0.733 0.891
F9 0.754 0.754 0.352
F10 0.774 0.191 0.690
F11 0.809 0.226 0.310
# SG: C2/m
# Final energy in eV/atom: -6.3386